[1]
A plane-wave DFT calculation with PBE was carried out for a relaxed K2LiYI6 crystal. Values from VASP.

Output
Formation energy (no corrections): -1.3425 eV per atom
Space-group type: Fm-3m, No. 225
Total magnetization: 0.000 μB per atom
E above lowest polymorph: 47 meV/atom

Structure (Quantum ESPRESSO input):
```
&SYSTEM
  ibrav = 0, nat = 10, ntyp = 4
/
ATOMIC_SPECIES
K 39.10 K.upf
Li 6.94 Li.upf
Y 88.91 Y.upf
I 126.90 I.upf
ATOMIC_POSITIONS angstrom
K 3.2109 -3.7884 14.7186
K 1.0703 -1.2628 4.9062
Li 2.1406 -2.5256 9.8124
Y 0.0000 0.0000 0.0000
I 0.6183 -4.2083 7.9052
I 0.5875 -0.1504 8.9564
I 3.6629 -0.8429 11.7196
I 4.1547 -1.9660 7.7109
I 0.1264 -3.0853 11.9139
I 3.6936 -4.9008 10.6684
CELL_PARAMETERS angstrom
-0.9301 -5.9198 5.9655
6.2033 -1.3968 5.5735
-0.9921 2.2653 8.0858
```



[2]
A plane-wave DFT calculation with PBE was carried out for a relaxed KLiZn2I6 crystal. Values from VASP.

Output
Formation energy (no corrections): -0.8600 eV per atom
Space-group type: C2/c, No. 15
Total magnetization: 0.000 μB per atom

Structure (Quantum ESPRESSO input):
```
&SYSTEM
  ibrav = 0, nat = 20, ntyp = 4
/
ATOMIC_SPECIES
K 39.10 K.upf
Li 6.94 Li.upf
Zn 65.41 Zn.upf
I 126.90 I.upf
ATOMIC_POSITIONS angstrom
K 4.6053 9.0059 1.2026
K 8.6645 0.8570 9.0328
Li 4.6053 1.9113 8.0390
Li 8.6645 7.9516 2.1964
Zn 5.9985 7.6602 6.3493
Zn 3.2120 3.8128 2.3566
Zn 7.2713 2.2026 3.8861
Zn 10.0578 6.0500 7.8788
I 6.0640 9.5529 8.2000
I 3.1465 2.0336 0.3966
I 7.2058 0.3099 2.0354
I 10.1233 7.8293 9.8388
I 6.6882 8.6467 4.0081
I 2.5223 6.1890 1.4576
I 6.5816 1.2162 6.2273
I 10.7475 3.6739 8.7778
I 3.4357 6.9222 5.8874
I 5.7749 4.2471 3.1113
I 9.8341 2.9407 4.3480
I 7.4950 5.6157 7.1242
CELL_PARAMETERS angstrom
8.1185 -0.0221 -0.0229
2.5757 10.3332 -0.0654
2.5757 -0.4483 10.3237
```



[3]
A plane-wave DFT calculation with PBE was carried out for a relaxed KLi2ZnI6 crystal. Values from VASP.

Output
Formation energy (no corrections): -0.8870 eV per atom
Space-group type: C2/c, No. 15
Total magnetization: 0.102 μB per atom

Structure (Quantum ESPRESSO input):
```
&SYSTEM
  ibrav = 0, nat = 20, ntyp = 4
/
ATOMIC_SPECIES
K 39.10 K.upf
Li 6.94 Li.upf
Zn 65.41 Zn.upf
I 126.90 I.upf
ATOMIC_POSITIONS angstrom
K -4.0595 -5.6971 -8.1511
K 0.5833 -13.6057 1.0459
Li -1.7669 -10.6311 -6.0159
Li -0.6222 -4.2356 -3.6557
Li -1.7093 -8.6716 -1.0893
Li -2.8540 -15.0671 -3.4496
Zn 2.8662 -9.8944 -0.1365
Zn -6.3424 -9.4083 -6.9687
I 0.0231 -11.8957 -7.7771
I -2.0292 -3.2032 -1.4512
I -3.4993 -7.4070 0.6719
I -1.4469 -16.0995 -5.6540
I -3.7522 -9.1421 -7.2472
I -1.8238 -3.7932 -6.1124
I 0.2761 -10.1607 0.1419
I -1.6524 -15.5095 -0.9929
I 0.0671 -8.5572 -5.4345
I -1.5326 -6.8694 -3.1682
I -3.5433 -10.7456 -1.6707
I -1.9436 -12.4334 -3.9370
CELL_PARAMETERS angstrom
-5.5521 -6.8247 1.2236
-3.8175 -3.2963 -9.7833
5.8935 -9.1817 1.4545
```



[4]
A plane-wave DFT calculation with PBE was carried out for a relaxed K2LiZrI6 crystal. Values from VASP.

Output
Formation energy (no corrections): -1.1139 eV per atom
Space-group type: R-3m, No. 166
Total magnetization: 0.100 μB per atom

Structure (Quantum ESPRESSO input):
```
&SYSTEM
  ibrav = 0, nat = 20, ntyp = 4
/
ATOMIC_SPECIES
K 39.10 K.upf
Li 6.94 Li.upf
Zr 91.22 Zr.upf
I 126.90 I.upf
ATOMIC_POSITIONS angstrom
K 3.0648 -4.9191 13.9801
K -1.0645 3.5747 9.5551
K 0.8476 0.6230 19.1828
K 1.1527 -1.9673 4.3525
Li 1.9332 -3.0044 9.5782
Li 0.0671 1.6600 13.9570
Zr 0.0000 0.0000 0.0000
Zr 1.0001 -0.6722 11.7676
I -0.0265 -3.4116 11.6516
I 3.7185 -1.7060 11.4307
I 0.7416 -0.4814 8.8575
I 2.0268 2.0673 11.8837
I -1.7182 0.3617 12.1045
I 1.2587 -0.8630 14.6777
I -1.9895 1.4587 16.2404
I 1.7812 3.1759 16.0180
I -1.2161 4.4089 13.4272
I 3.9897 -2.8030 7.2949
I 0.2191 -4.5203 7.5173
I 3.2164 -5.7533 10.1081
CELL_PARAMETERS angstrom
-1.5414 -5.8803 5.6070
5.9739 -2.4575 5.1638
-2.4323 6.9935 12.7644
```



[5]
A plane-wave DFT calculation with PBE was carried out for a relaxed KLiZrI6 crystal. Values from VASP.

Output
Formation energy (no corrections): -1.0898 eV per atom
Space-group type: P-31c, No. 163
Total magnetization: 0.000 μB per atom

Structure (Quantum ESPRESSO input):
```
&SYSTEM
  ibrav = 0, nat = 18, ntyp = 4
/
ATOMIC_SPECIES
K 39.10 K.upf
Li 6.94 Li.upf
Zr 91.22 Zr.upf
I 126.90 I.upf
ATOMIC_POSITIONS angstrom
K 0.0000 0.0000 0.0000
K 0.0000 0.0000 7.7735
Li 0.0000 4.4098 3.8868
Li 3.8190 2.2049 11.6603
Zr 3.8190 2.2049 3.8868
Zr 0.0000 4.4098 11.6603
I 2.4762 4.1391 2.2156
I 6.1654 2.4007 2.2156
I -1.0036 6.5398 9.9891
I -2.3464 4.2139 13.3314
I 1.4725 2.4007 5.5579
I 5.1618 4.1391 5.5579
I 1.0036 6.5398 13.3314
I 4.8226 0.0749 5.5579
I -1.3428 2.4756 9.9891
I 2.8154 0.0749 2.2156
I 2.3464 4.2139 9.9891
I 1.3428 2.4756 13.3314
CELL_PARAMETERS angstrom
7.6380 0.0000 0.0000
-3.8190 6.6147 0.0000
0.0000 0.0000 15.5470
```



[6]
A plane-wave DFT calculation with PBE was carried out for a relaxed K3MgI6 crystal. Values from VASP.

Output
Formation energy (no corrections): -1.1663 eV per atom
Space-group type: Cmc2_1, No. 36
Total magnetization: 0.000 μB per atom

Structure (Quantum ESPRESSO input):
```
&SYSTEM
  ibrav = 0, nat = 20, ntyp = 3
/
ATOMIC_SPECIES
K 39.10 K.upf
Mg 24.30 Mg.upf
I 126.90 I.upf
ATOMIC_POSITIONS angstrom
K -0.7140 -12.7592 -0.3077
K 2.8159 -13.1052 4.2067
K 2.8449 -7.6406 1.8657
K -2.4092 -9.0910 3.7891
K 1.0713 -4.0562 6.2643
K -2.4587 -3.7103 1.7499
Mg 6.7293 -6.5363 0.3025
Mg -4.9849 -8.7989 0.3204
I 1.4166 -9.8035 -0.8530
I 0.7003 -10.6833 2.4089
I 5.7210 -9.0941 0.2588
I -3.5580 -11.0505 0.9950
I 9.0617 -6.4123 1.7350
I 5.5893 -7.6384 4.1826
I -4.2040 -8.0799 -2.1793
I -7.6770 -9.3067 0.2708
I 4.8805 -4.7348 1.2501
I -4.3985 -6.6913 1.9863
I 0.5292 -5.2012 0.1935
I -0.1870 -6.0811 3.4554
CELL_PARAMETERS angstrom
-1.6779 -1.7905 6.4515
-7.8605 -8.2923 -4.3457
10.6104 -5.9699 1.1026
```



[7]
A plane-wave DFT calculation with PBE was carried out for a relaxed K2Mg4I crystal. Values from VASP.

Output
Formation energy (no corrections): 0.3581 eV per atom
Space-group type: I4/mmm, No. 139
Total magnetization: 0.000 μB per atom

Structure (Quantum ESPRESSO input):
```
&SYSTEM
  ibrav = 0, nat = 7, ntyp = 3
/
ATOMIC_SPECIES
I 126.90 I.upf
K 39.10 K.upf
Mg 24.30 Mg.upf
ATOMIC_POSITIONS angstrom
I 0.0000 0.0000 0.0000
K 2.8110 -10.5734 1.7387
K 1.2965 -4.9632 0.2789
Mg 2.2021 -8.7656 -1.5611
Mg 1.9055 -6.7710 3.5788
Mg 2.5067 -1.2780 -1.1627
Mg -1.6579 -2.3559 -0.9848
CELL_PARAMETERS angstrom
-3.3158 -4.7119 -1.9695
5.0134 -2.5560 -2.3254
2.4099 -8.2687 6.3125
```



[8]
A plane-wave DFT calculation with PBE was carried out for a relaxed K2Mg3I8 crystal. Values from VASP.

Output
Formation energy (no corrections): -1.1539 eV per atom
Space-group type: C2/m, No. 12
Total magnetization: 0.000 μB per atom

Structure (Quantum ESPRESSO input):
```
&SYSTEM
  ibrav = 0, nat = 13, ntyp = 3
/
ATOMIC_SPECIES
K 39.10 K.upf
Mg 24.30 Mg.upf
I 126.90 I.upf
ATOMIC_POSITIONS angstrom
K -4.7142 -3.7543 3.5576
K -0.1143 -1.6526 4.1178
Mg -3.0414 1.5347 1.6350
Mg -1.2653 -1.7303 -0.7295
Mg -3.6039 -4.9284 -2.0780
I 2.5439 -3.8669 4.7592
I -7.3724 -1.5400 2.9163
I -0.0975 -7.1396 3.5798
I -4.7310 1.7327 4.0956
I -5.3745 -4.9048 0.2805
I -2.7996 -1.3835 1.7652
I -2.0289 -4.0234 5.9103
I 0.5460 -0.5021 7.3950
CELL_PARAMETERS angstrom
-6.0829 3.0694 3.2700
-4.8692 -6.6587 -2.8075
6.1236 -1.8176 7.2130
```